# PrDyCdIn

An optimized crystal structure of PrDyCdIn (GGA-PBE, Alexandria via LeMat-Bulk).

POSCAR file:
```
PrDyCdIn
1.0
0.000 3.827 3.827
3.827 0.000 3.827
3.827 3.827 0.000
Pr Dy Cd In
1 1 1 1
direct
0.000 0.000 0.000
0.500 0.500 0.500
0.750 0.750 0.750
0.250 0.250 0.250
```

V = 28.0 Å³/atom
VASP energy = -3.66 eV per atom


# Nd3Zn4Si2

An optimized crystal structure of Nd3Zn4Si2 (GGA-PBE, Alexandria via LeMat-Bulk).

POSCAR file:
```
Nd3Zn4Si2
1.0
5.491 -2.150 0.000
5.491 2.150 0.000
-2.352 0.000 8.219
Nd Zn Si
3 4 2
direct
0.000 0.000 0.000
0.327 0.327 0.346
0.673 0.673 0.654
0.032 0.032 0.367
0.263 0.263 0.928
0.737 0.737 0.072
0.968 0.968 0.633
0.391 0.391 0.725
0.609 0.609 0.275
```

V = 21.6 Å³/atom
VASP energy = -3.89 eV per atom


# Pm6Ge2F

An optimized crystal structure of Pm6Ge2F (GGA-PBE, Alexandria via LeMat-Bulk).

POSCAR file:
```
Pm6Ge2F
1.0
6.589 0.000 0.000
0.000 7.768 0.000
-6.571 0.000 9.518
Pm Ge F
12 4 2
direct
0.078 0.183 0.443
0.078 0.317 0.943
0.306 0.693 0.441
0.306 0.807 0.941
0.389 0.030 0.244
0.389 0.470 0.744
0.611 0.530 0.256
0.611 0.970 0.756
0.694 0.193 0.059
0.694 0.307 0.559
0.922 0.683 0.057
0.922 0.817 0.557
0.183 0.122 0.752
0.183 0.378 0.252
0.817 0.622 0.748
0.817 0.878 0.248
0.500 0.000 0.500
0.500 0.500 0.000
```

V = 27.1 Å³/atom
VASP energy = -5.35 eV per atom


# Nd3Ho4Zn

An optimized crystal structure of Nd3Ho4Zn (GGA-PBE, Alexandria via LeMat-Bulk).

POSCAR file:
```
Nd3Ho4Zn
1.0
3.585 0.000 0.000
0.000 3.585 0.000
0.000 0.000 18.954
Nd Ho Zn
3 4 1
direct
0.000 0.000 0.000
0.000 0.000 0.270
0.000 0.000 0.730
0.500 0.500 0.135
0.500 0.500 0.407
0.500 0.500 0.593
0.500 0.500 0.865
0.000 0.000 0.500
```

V = 30.4 Å³/atom
VASP energy = -4.31 eV per atom


# NaSr3Ir

An optimized crystal structure of NaSr3Ir (GGA-PBE, Alexandria via LeMat-Bulk).

POSCAR file:
```
NaSr3Ir
1.0
3.914 2.260 7.776
-3.914 2.260 7.776
0.000 -4.519 7.776
Na Sr Ir
2 6 2
direct
0.179 0.179 0.179
0.821 0.821 0.821
0.101 0.698 0.391
0.302 0.609 0.899
0.391 0.101 0.698
0.609 0.899 0.302
0.698 0.391 0.101
0.899 0.302 0.609
0.316 0.316 0.316
0.684 0.684 0.684
```

V = 41.3 Å³/atom
VASP energy = -3.10 eV per atom


# Nd3CoBr

An optimized crystal structure of Nd3CoBr (GGA-PBE, Alexandria via LeMat-Bulk).

POSCAR file:
```
Nd3CoBr
1.0
9.004 0.000 0.000
0.000 3.778 0.000
-3.574 0.000 8.267
Nd Co Br
6 2 2
direct
0.017 0.250 0.188
0.246 0.750 0.551
0.374 0.750 0.202
0.626 0.250 0.798
0.754 0.250 0.449
0.983 0.750 0.812
0.408 0.250 0.439
0.592 0.750 0.561
0.303 0.250 0.873
0.697 0.750 0.127
```

V = 28.1 Å³/atom
VASP energy = -5.11 eV per atom


# BeAlSe

An optimized crystal structure of BeAlSe (GGA-PBE, Alexandria via LeMat-Bulk).

POSCAR file:
```
BeAlSe
1.0
1.744 1.007 5.197
-1.744 1.007 5.197
0.000 -2.014 5.197
Be Al Se
1 1 1
direct
0.000 0.000 0.000
0.557 0.557 0.557
0.396 0.396 0.396
```

V = 18.3 Å³/atom
VASP energy = -3.76 eV per atom


# RbNi3Bi

An optimized crystal structure of RbNi3Bi (GGA-PBE, Alexandria via LeMat-Bulk).

POSCAR file:
```
RbNi3Bi
1.0
5.028 0.000 0.000
0.000 5.028 0.000
0.000 0.000 5.028
Rb Ni Bi
1 3 1
direct
0.000 0.000 0.000
0.000 0.500 0.500
0.500 0.000 0.500
0.500 0.500 0.000
0.500 0.500 0.500
```

V = 25.4 Å³/atom
VASP energy = -3.64 eV per atom


# Pm12Nd7Tl

An optimized crystal structure of Pm12Nd7Tl (GGA-PBE, Alexandria via LeMat-Bulk).

POSCAR file:
```
Pm12Nd7Tl
1.0
6.265 3.617 5.223
-6.265 3.617 5.223
0.000 -7.235 5.223
Pm Nd Tl
12 7 1
direct
0.003 0.886 0.335
0.114 0.665 0.997
0.121 0.461 0.342
0.335 0.003 0.886
0.342 0.121 0.461
0.461 0.342 0.121
0.539 0.658 0.879
0.658 0.879 0.539
0.665 0.997 0.114
0.879 0.539 0.658
0.886 0.335 0.003
0.997 0.114 0.665
0.213 0.764 0.618
0.236 0.382 0.787
0.382 0.787 0.236
0.500 0.500 0.500
0.618 0.213 0.764
0.764 0.618 0.213
0.787 0.236 0.382
0.000 0.000 0.000
```

V = 35.5 Å³/atom
VASP energy = -4.48 eV per atom


# PuZn5Ni2

An optimized crystal structure of PuZn5Ni2 (GGA-PBE, Alexandria via LeMat-Bulk).

POSCAR file:
```
PuZn5Ni2
1.0
-1.420 4.165 5.107
1.420 -4.165 5.107
1.420 4.165 -5.107
Pu Zn Ni
1 5 2
direct
0.000 0.000 0.000
0.142 0.357 0.785
0.428 0.643 0.785
0.500 0.000 0.500
0.572 0.357 0.215
0.858 0.643 0.215
0.248 0.748 0.500
0.752 0.252 0.500
```

V = 15.1 Å³/atom
VASP energy = -4.15 eV per atom


# Y4Er3Tm4

An optimized crystal structure of Y4Er3Tm4 (GGA-PBE, Alexandria via LeMat-Bulk).

POSCAR file:
```
Y4Er3Tm4
1.0
-1.762 2.489 19.405
1.762 -2.489 19.405
1.762 2.489 -19.405
Y Er Tm
4 3 4
direct
0.046 0.046 0.000
0.318 0.318 0.000
0.682 0.682 0.000
0.954 0.954 0.000
0.136 0.136 0.000
0.500 0.500 0.000
0.864 0.864 0.000
0.228 0.228 0.000
0.409 0.409 0.000
0.591 0.591 0.000
0.772 0.772 0.000
```

V = 30.9 Å³/atom
VASP energy = -5.19 eV per atom


# Mg5SnIr

An optimized crystal structure of Mg5SnIr (GGA-PBE, Alexandria via LeMat-Bulk).

POSCAR file:
```
Mg5SnIr
1.0
4.359 0.000 0.000
0.000 4.359 0.000
0.000 0.000 7.727
Mg Sn Ir
5 1 1
direct
0.000 0.000 0.000
0.000 0.500 0.242
0.000 0.500 0.758
0.500 0.000 0.242
0.500 0.000 0.758
0.000 0.000 0.500
0.500 0.500 0.000
```

V = 21.0 Å³/atom
VASP energy = -3.16 eV per atom